No. 1
First-principles (GGA-PBEsol) data for an optimized crystal structure of YAl6Cu6, as listed in Alexandria via LeMat-Bulk.

abc: 6.5586 6.5586 6.5586
angles: 135.36 99.14 97.45
Closest atoms and distances in Å follow each position.
Positions (direct):
Y (0.0000, 0.0000, 0.0000)  8 Al 2.94-3.03, 12 Cu 3.17-3.28
Al (0.1988, 0.6988, 0.5000)  6 Cu 2.50-2.61
Al (0.3452, 0.0000, 0.3452)  6 Cu 2.62-2.67, 3 Al 2.63-2.92, 1 Y 2.94
Al (0.3481, 0.3481, 0.0000)  6 Cu 2.61-2.64, 3 Al 2.63-2.81
Al (0.6520, 0.6520, 0.0000)  6 Cu 2.61-2.64, 3 Al 2.63-2.81
Al (0.6548, 0.0000, 0.6548)  6 Cu 2.62-2.67, 3 Al 2.63-2.92, 1 Y 2.94
Al (0.8012, 0.3012, 0.5000)  6 Cu 2.50-2.61
Cu (0.0000, 0.0000, 0.5000)  4 Cu 2.49-2.50, 6 Al 2.50-2.62
Cu (0.0000, 0.5000, 0.0000)  4 Cu 2.49-2.50, 6 Al 2.50-2.62
Cu (0.2314, 0.5000, 0.7314)  4 Cu 2.50, 6 Al 2.61-2.67
Cu (0.5000, 0.0000, 0.0000)  4 Cu 2.49-2.50, 6 Al 2.50-2.62
Cu (0.5000, 0.5000, 0.5000)  4 Cu 2.49-2.50, 6 Al 2.50-2.62
Cu (0.7686, 0.5000, 0.2686)  4 Cu 2.50, 6 Al 2.61-2.67

Computed properties:
* DOS at the Fermi energy: 3.4 states/eV/cell
* electronic total energy: -4.79 eV per atom
* formation energy from the elements: -0.376 eV per atom

No. 2
First-principles (GGA-PBEsol) data for an optimized crystal structure of Al2ZnCu, as listed in Alexandria via LeMat-Bulk.

abc: 4.4414 2.8893 4.7738
angles: 90.00 111.51 90.00
Closest atoms and distances in Å follow each position.
Positions (direct):
Al (0.0000, 0.0000, 0.0000)  2 Zn 2.60, 4 Cu 2.65, 6 Al 2.79-2.89
Al (0.0000, 0.5000, 0.5000)  2 Cu 2.60, 4 Zn 2.65, 6 Al 2.79-2.89
Zn (0.5000, 0.0000, 0.5000)  6 Al 2.60-2.65, 4 Cu 2.79, 2 Zn 2.89
Cu (0.5000, 0.5000, 0.0000)  6 Al 2.60-2.65, 4 Zn 2.79, 2 Cu 2.89

Computed properties:
* DOS at the Fermi energy: 1.1 states/eV/cell
* electronic total energy: -3.57 eV per atom
* formation energy from the elements: -0.042 eV per atom

No. 3
First-principles (GGA-PBEsol) data for an optimized crystal structure of AlZnCu, as listed in Alexandria via LeMat-Bulk.

abc: 4.5082 4.5082 4.5082
angles: 142.07 133.71 61.33
Closest atoms and distances in Å follow each position.
Positions (direct):
Al (0.0000, 0.0000, 0.0000)  5 Zn 2.54-2.66, 5 Cu 2.61-2.62
Zn (0.3281, 0.3281, 0.0000)  5 Al 2.54-2.66, 5 Cu 2.60-2.63
Cu (0.6629, 0.6629, 0.0000)  5 Zn 2.60-2.63, 5 Al 2.61-2.62

Computed properties:
* DOS at the Fermi energy: 0.6 states/eV/cell
* electronic total energy: -3.42 eV per atom
* formation energy from the elements: -0.082 eV per atom